1.
Below is crystalline LaVS3 at its relaxed geometry, with properties calculated at the PBE-GGA level.

abc: 4.6276 4.6276 4.6276
angles: 90.00 90.00 90.00
Last column: magnetic moment on the atom in μB.
Positions (direct):
S1 0.0000 0.5000 0.0000  -0.01
S2 0.0000 0.0000 0.5000  -0.01
S3 0.5000 0.0000 0.0000  -0.01
La1 0.5000 0.5000 0.5000  0.03
V1 0.0000 0.0000 0.0000  0.43

Results
Symmetry   Pm-3m, No. 221
Formation energy without anion corrections   -1305 meV/atom
DOS at the Fermi energy   3.67 states/eV per cell

---

2.
Below is crystalline La2V2S at its relaxed geometry, with properties calculated at the PBE-GGA level.

abc: 5.8302 5.8302 5.4641
angles: 57.76 57.76 90.00
Last column: magnetic moment on the atom in μB.
Positions (direct):
S1 0.0000 0.0000 0.0000  0.00
La1 0.7500 0.2500 0.5000  0.12
La2 0.2500 0.7500 0.5000  0.12
V1 0.3233 0.3233 0.3533  1.97
V2 0.6767 0.6767 0.6467  1.97

Results
Symmetry   I4/mmm, No. 139
Formation energy without anion corrections   267 meV/atom
Energy above the most stable polymorph in this dataset   273 meV/atom
DOS at the Fermi energy   5.93 states/eV per cell

---

3.
Below is crystalline LaVS3 at its relaxed geometry, with properties calculated at the PBE-GGA level.

abc: 3.6791 7.8022 13.4196
angles: 90.00 90.00 90.00
Positions (direct):
S1 0.7500 0.7918 0.2059
S2 0.2500 0.2082 0.7941
S3 0.7500 0.2918 0.2941
S4 0.2500 0.7082 0.7059
S5 0.7500 0.6702 0.4959
S6 0.2500 0.3298 0.5041
S7 0.7500 0.1702 0.0041
S8 0.2500 0.8298 0.9959
S9 0.7500 0.5267 0.8850
S10 0.2500 0.4733 0.1150
S11 0.7500 0.0267 0.6150
S12 0.2500 0.9733 0.3850
V1 0.7500 0.6245 0.0445
V2 0.2500 0.3755 0.9555
V3 0.7500 0.1245 0.4555
V4 0.2500 0.8755 0.5445
La1 0.7500 0.9180 0.8310
La2 0.2500 0.0820 0.1690
La3 0.7500 0.4180 0.6690
La4 0.2500 0.5820 0.3310

Results
Symmetry   Pnma, No. 62
Formation energy without anion corrections   -1497 meV/atom
DOS at the Fermi energy   1.43 states/eV per cell

---

Look up the DOS at the Fermi energy of the second one. 5.93 states/eV per cell

---

Look up the DOS at the Fermi energy of the first one. 3.67 states/eV per cell